Material: Sc2Be2BRu5
Method: DFT, GGA-PBE
State: relaxed

a b c (Å): 3.0461 9.2389 9.2389
angles (deg): 90.00 90.00 90.00
Closest atoms and distances in Å follow each position.
Sites, in units of the cell vectors:
1 Sc 0.0000 0.3304 0.8304  3 Be 2.61-2.79, 6 Ru 2.69-2.91
2 Sc 0.0000 0.6696 0.1696  3 Be 2.61-2.79, 6 Ru 2.69-2.91
3 Sc 0.0000 0.1696 0.3304  3 Be 2.61-2.79, 6 Ru 2.69-2.91
4 Sc 0.0000 0.8304 0.6696  3 Be 2.61-2.79, 6 Ru 2.69-2.91
5 Be 0.0000 0.6303 0.8697  6 Ru 2.28-2.35
6 Be 0.0000 0.8697 0.3697  6 Ru 2.28-2.35
7 Be 0.0000 0.1303 0.6303  6 Ru 2.28-2.35
8 Be 0.0000 0.3697 0.1303  6 Ru 2.28-2.35
9 B 0.0000 0.0000 0.0000  8 Ru 2.39
10 B 0.0000 0.5000 0.5000  8 Ru 2.39
11 Ru 0.5000 0.8116 0.9369  2 Be 2.35, 2 B 2.39, 2 Ru 2.60
12 Ru 0.5000 0.4369 0.3116  2 Be 2.35, 2 B 2.39, 2 Ru 2.60
13 Ru 0.5000 0.0000 0.5000  4 Be 2.28
14 Ru 0.5000 0.6884 0.4369  2 Be 2.35, 2 B 2.39, 2 Ru 2.60
15 Ru 0.5000 0.5000 0.0000  4 Be 2.28
16 Ru 0.5000 0.1884 0.0631  2 Be 2.35, 2 B 2.39, 2 Ru 2.60
17 Ru 0.5000 0.5631 0.6884  2 Be 2.35, 2 B 2.39, 2 Ru 2.60
18 Ru 0.5000 0.9369 0.1884  2 Be 2.35, 2 B 2.39, 2 Ru 2.60
19 Ru 0.5000 0.0631 0.8116  2 Be 2.35, 2 B 2.39, 2 Ru 2.60
20 Ru 0.5000 0.3116 0.5631  2 Be 2.35, 2 B 2.39, 2 Ru 2.60

Output
The space group is P4/mbm, No. 127. The final energy comes out at -152.7 eV/cell. The crystal system is tetragonal. For the volume, the calculation gives 13.0 Å³ per atom.

=====

Material: SmBe2BRu2
Method: DFT, GGA-PBE
State: relaxed

a b c (Å): 4.1124 4.1124 5.1996
angles (deg): 90.00 90.00 90.00
Closest atoms and distances in Å follow each position.
Sites, in units of the cell vectors:
1 Sm 0.0000 0.0000 0.5000  2 B 2.60
2 B 0.0000 0.0000 0.0000  4 Ru 2.06
3 Be 0.5000 0.5000 0.2246  1 Be 2.34, 4 Ru 2.36
4 Be 0.5000 0.5000 0.7754  1 Be 2.34, 4 Ru 2.36
5 Ru 0.0000 0.5000 0.0000  2 B 2.06
6 Ru 0.5000 0.0000 0.0000  2 B 2.06

Output
The space group is P4/mmm, No. 123. The final energy comes out at -39.7 eV/cell. The crystal system is tetragonal. For the volume, the calculation gives 14.7 Å³ per atom.